1.
First-principles (GGA-PBE) data for a relaxed PmCd10Ag2 crystal, as listed in the Alexandria database.

Lattice parameters (Å, degrees): 9.985 7.642 7.617 81.74 49.24 49.02
Atoms (fractional coordinates):
Pm (0.000, 0.000, 0.000)
Cd (0.000, 0.500, 0.000)
Cd (0.007, 0.651, 0.349)
Cd (0.287, 0.504, 0.496)
Cd (0.349, 0.993, 0.007)
Cd (0.496, 0.713, 0.287)
Cd (0.500, 0.000, 0.500)
Cd (0.504, 0.287, 0.713)
Cd (0.651, 0.007, 0.993)
Cd (0.713, 0.496, 0.504)
Cd (0.993, 0.349, 0.651)
Ag (0.000, 0.000, 0.500)
Ag (0.500, 0.500, 0.000)

Magnetization ... 0.00 μB/f.u.
Energy ... -1.630 eV/atom

---

2.
First-principles (GGA-PBE) data for a relaxed PmCd2Ag8 crystal, as listed in the Alexandria database.

Lattice parameters (Å, degrees): 8.294 8.294 5.152 107.78 107.78 123.56
Atoms (fractional coordinates):
Pm (0.000, 0.000, 0.000)
Cd (0.320, 0.680, 0.500)
Cd (0.680, 0.320, 0.500)
Ag (0.094, 0.362, 0.730)
Ag (0.206, 0.794, 0.000)
Ag (0.362, 0.094, 0.730)
Ag (0.500, 0.500, 0.250)
Ag (0.500, 0.500, 0.750)
Ag (0.638, 0.906, 0.270)
Ag (0.794, 0.206, 0.000)
Ag (0.906, 0.638, 0.270)

Magnetization ... 0.00 μB/f.u.
Energy ... -2.711 eV/atom

---

> Look up the energy of the second one.

-2.711 eV/atom